No. 1
The following is a PBE-GGA calculation of crystalline Na3Y3AsO8 at its relaxed geometry, from Alexandria.

Volume in Å³ per cell: 217.5
Formation energy (no corrections) in meV/atom: -2418
D(E_F) in states/eV/f.u.: 1.344
SG: R-3m
Calculated density in Mg/m³: 4.113

Lattice parameters (Å, degrees): 6.7896 6.7896 6.7896 59.23 59.23 59.23
Fractional positions:
Na: 0.0000 0.5000 0.5000
Na: 0.5000 0.0000 0.5000
Na: 0.5000 0.5000 0.0000
Y: 0.0000 0.0000 0.5000
Y: 0.0000 0.5000 0.0000
Y: 0.5000 0.0000 0.0000
As: 0.5000 0.5000 0.5000
O: 0.2368 0.2368 0.2368
O: 0.2680 0.7140 0.7140
O: 0.2860 0.2860 0.7320
O: 0.2860 0.7320 0.2860
O: 0.7140 0.2680 0.7140
O: 0.7140 0.7140 0.2680
O: 0.7320 0.2860 0.2860
O: 0.7632 0.7632 0.7632



No. 2
The following is a PBE-GGA calculation of crystalline Na2YAs2O6 at its relaxed geometry, from Alexandria.

Volume in Å³ per cell: 171.6
Formation energy (no corrections) in meV/atom: -1831
D(E_F) in states/eV/f.u.: 4.555
SG: P-3
Calculated density in Mg/m³: 3.684

Lattice parameters (Å, degrees): 5.7854 5.7854 5.9198 90.00 90.00 120.00
Fractional positions:
Na: 0.3333 0.6667 0.4053
Na: 0.6667 0.3333 0.5947
Y: 0.0000 0.0000 0.0000
As: 0.3333 0.6667 0.9033
As: 0.6667 0.3333 0.0967
O: 0.0923 0.7291 0.7725
O: 0.2709 0.3631 0.7725
O: 0.3631 0.0923 0.2275
O: 0.6369 0.9077 0.7725
O: 0.7291 0.6369 0.2275
O: 0.9077 0.2709 0.2275



No. 3
The following is a PBE-GGA calculation of crystalline NaZnAsO4 at its relaxed geometry, from Alexandria.

Volume in Å³ per cell: 1221.9
Formation energy (no corrections) in meV/atom: -1534
D(E_F) in states/eV/f.u.: 0.000
SG: P2_1/c
Distance to the lowest polymorph of the same formula in meV/atom: 0.0
Calculated density in Mg/m³: 3.707

Lattice parameters (Å, degrees): 9.0987 8.4096 18.3495 90.00 119.51 90.00
Fractional positions:
Na: 0.0019 0.0406 0.2452
Na: 0.0019 0.4594 0.7452
Na: 0.2978 0.5305 0.5705
Na: 0.2978 0.9695 0.0705
Na: 0.3518 0.5375 0.0881
Na: 0.3518 0.9625 0.5881
Na: 0.6482 0.0375 0.4119
Na: 0.6482 0.4625 0.9119
Na: 0.7022 0.0305 0.9295
Na: 0.7022 0.4695 0.4295
Na: 0.9981 0.5406 0.2548
Na: 0.9981 0.9594 0.7548
Zn: 0.0175 0.6669 0.9207
Zn: 0.0175 0.8331 0.4207
Zn: 0.3203 0.6704 0.7413
Zn: 0.3203 0.8296 0.2413
Zn: 0.3432 0.1635 0.9078
Zn: 0.3432 0.3365 0.4078
Zn: 0.6568 0.6635 0.5922
Zn: 0.6568 0.8365 0.0922
Zn: 0.6797 0.1704 0.7587
Zn: 0.6797 0.3296 0.2587
Zn: 0.9825 0.1669 0.5793
Zn: 0.9825 0.3331 0.0793
As: 0.0282 0.2232 0.4205
As: 0.0282 0.2768 0.9205
As: 0.3124 0.2244 0.2327
As: 0.3124 0.2756 0.7327
As: 0.3498 0.7294 0.4109
As: 0.3498 0.7706 0.9109
As: 0.6502 0.2294 0.0891
As: 0.6502 0.2706 0.5891
As: 0.6876 0.7244 0.2673
As: 0.6876 0.7756 0.7673
As: 0.9718 0.7232 0.0795
As: 0.9718 0.7768 0.5795
O: 0.0944 0.7391 0.5334
O: 0.0944 0.7609 0.0334
O: 0.0990 0.7203 0.1869
O: 0.0990 0.7797 0.6869
O: 0.1306 0.0436 0.4528
O: 0.1306 0.4564 0.9528
O: 0.1328 0.7252 0.3669
O: 0.1328 0.7748 0.8669
O: 0.1830 0.1335 0.9500
O: 0.1830 0.3665 0.4500
O: 0.2185 0.2452 0.2943
O: 0.2185 0.2548 0.7943
O: 0.2291 0.1387 0.6522
O: 0.2291 0.3613 0.1522
O: 0.2561 0.0411 0.1847
O: 0.2561 0.4589 0.6847
O: 0.4054 0.6279 0.8611
O: 0.4054 0.8721 0.3611
O: 0.4199 0.5507 0.3935
O: 0.4199 0.9493 0.8935
O: 0.4374 0.7335 0.0168
O: 0.4374 0.7665 0.5168
O: 0.4721 0.7425 0.2033
O: 0.4721 0.7575 0.7033
O: 0.5279 0.2425 0.2967
O: 0.5279 0.2575 0.7967
O: 0.5626 0.2335 0.4832
O: 0.5626 0.2665 0.9832
O: 0.5801 0.0507 0.1065
O: 0.5801 0.4493 0.6065
O: 0.5946 0.1279 0.6389
O: 0.5946 0.3721 0.1389
O: 0.7439 0.5411 0.3153
O: 0.7439 0.9589 0.8153
O: 0.7709 0.6387 0.8478
O: 0.7709 0.8613 0.3478
O: 0.7815 0.7452 0.2057
O: 0.7815 0.7548 0.7057
O: 0.8170 0.6335 0.5500
O: 0.8170 0.8665 0.0500
O: 0.8672 0.2252 0.1331
O: 0.8672 0.2748 0.6331
O: 0.8694 0.5436 0.0472
O: 0.8694 0.9564 0.5472
O: 0.9010 0.2203 0.3131
O: 0.9010 0.2797 0.8131
O: 0.9056 0.2391 0.9666
O: 0.9056 0.2609 0.4666



No. 4
The following is a PBE-GGA calculation of crystalline NaZnAsO4 at its relaxed geometry, from Alexandria.

Volume in Å³ per cell: 611.9
Formation energy (no corrections) in meV/atom: -1531
D(E_F) in states/eV/f.u.: 0.000
SG: P6_3
Distance to the lowest polymorph of the same formula in meV/atom: 3.1
Calculated density in Mg/m³: 3.701

Lattice parameters (Å, degrees): 9.1519 9.1519 8.4361 90.00 90.00 120.00
Fractional positions:
Na: 0.0000 0.0000 0.0000
Na: 0.0000 0.0000 0.5000
Na: 0.3333 0.6667 0.0054
Na: 0.3333 0.6667 0.5861
Na: 0.6667 0.3333 0.0861
Na: 0.6667 0.3333 0.5054
Zn: 0.0150 0.6778 0.7084
Zn: 0.3222 0.3372 0.7084
Zn: 0.3372 0.0150 0.2084
Zn: 0.6628 0.9850 0.7084
Zn: 0.6778 0.6628 0.2084
Zn: 0.9850 0.3222 0.2084
As: 0.0274 0.6833 0.3175
As: 0.3167 0.3441 0.3175
As: 0.3441 0.0274 0.8175
As: 0.6559 0.9726 0.3175
As: 0.6833 0.6559 0.8175
As: 0.9726 0.3167 0.8175
O: 0.0978 0.2252 0.8104
O: 0.0996 0.5319 0.7933
O: 0.1273 0.9022 0.8104
O: 0.1289 0.7327 0.4975
O: 0.1848 0.7711 0.1758
O: 0.2252 0.1273 0.3104
O: 0.2289 0.4138 0.1758
O: 0.2673 0.3962 0.4975
O: 0.3962 0.1289 0.9975
O: 0.4138 0.1848 0.6758
O: 0.4323 0.9004 0.7933
O: 0.4681 0.5677 0.7933
O: 0.5319 0.4323 0.2933
O: 0.5677 0.0996 0.2933
O: 0.5862 0.8152 0.1758
O: 0.6038 0.8711 0.4975
O: 0.7327 0.6038 0.9975
O: 0.7711 0.5862 0.6758
O: 0.7748 0.8727 0.8104
O: 0.8152 0.2289 0.6758
O: 0.8711 0.2673 0.9975
O: 0.8727 0.0978 0.3104
O: 0.9004 0.4681 0.2933
O: 0.9022 0.7748 0.3104



No. 5
The following is a PBE-GGA calculation of crystalline NaZnAsO4 at its relaxed geometry, from Alexandria.

Volume in Å³ per cell: 212.6
Formation energy (no corrections) in meV/atom: -1507
D(E_F) in states/eV/f.u.: 0.000
SG: I-4
Distance to the lowest polymorph of the same formula in meV/atom: 26.9
Calculated density in Mg/m³: 3.552

Lattice parameters (Å, degrees): 5.1250 5.1250 8.0926 90.00 90.00 90.00
Fractional positions:
Na: 0.0000 0.0000 0.0000
Na: 0.5000 0.5000 0.5000
Zn: 0.0000 0.5000 0.7500
Zn: 0.5000 0.0000 0.2500
As: 0.0000 0.0000 0.5000
As: 0.5000 0.5000 0.0000
O: 0.1679 0.2257 0.6173
O: 0.2257 0.8321 0.3827
O: 0.2743 0.6679 0.8827
O: 0.3321 0.2743 0.1173
O: 0.6679 0.7257 0.1173
O: 0.7257 0.3321 0.8827
O: 0.7743 0.1679 0.3827
O: 0.8321 0.7743 0.6173



No. 6
The following is a PBE-GGA calculation of crystalline Na2ZnAs2O6 at its relaxed geometry, from Alexandria.

Volume in Å³ per cell: 149.6
Formation energy (no corrections) in meV/atom: -1382
D(E_F) in states/eV/f.u.: 0.000
SG: C2/m
Calculated density in Mg/m³: 3.964

Lattice parameters (Å, degrees): 5.6445 5.6445 6.3576 117.26 117.26 60.66
Fractional positions:
Na: 0.2057 0.2057 0.1582
Na: 0.7943 0.7943 0.8418
Zn: 0.0000 0.0000 0.5000
As: 0.4615 0.4615 0.7818
As: 0.5385 0.5385 0.2182
O: 0.1892 0.6850 0.2241
O: 0.2582 0.2582 0.5774
O: 0.3150 0.8108 0.7759
O: 0.6850 0.1892 0.2241
O: 0.7418 0.7418 0.4226
O: 0.8108 0.3150 0.7759